1.
KGeHOs2 | PBE | optimized geometry

Calculated values
The calculated volume is 111 Å³ per cell. The space-group type is P4/mmm (123). The mass density comes out at 7.37 g/cm3. As for the electronic total energy: -4.673 eV per atom.

Lattice parameters (Å, degrees): 4.6838 5.0657 4.6838 90.00 90.00 90.00
Site moments in Bohr magnetons follow the coordinates.
Element x y z (fractional)
Os (0.5000, 0.0000, 0.0000)  1.64
Os (0.0000, 0.0000, 0.5000)  1.53
K (0.5000, 0.5000, 0.5000)  0.00
H (0.0000, 0.5000, 0.0000)  0.18
Ge (0.0000, 0.0000, 0.0000)  -0.06



2.
K2GeHPb | PBE | optimized geometry

Calculated values
The calculated volume is 252 Å³ per cell. The value obtained for the relative energy among the computed polymorphs is 322.0 meV per atom. The space-group type is P4/mmm (123). The mass density comes out at 2.36 g/cm3.

Lattice parameters (Å, degrees): 6.9302 5.2565 6.9302 90.00 90.00 90.00
Site moments in Bohr magnetons follow the coordinates.
Element x y z (fractional)
H (0.5000, 0.5000, 0.5000)  0.08
K (0.0000, 0.0000, 0.5000)  0.00
K (0.5000, 0.0000, 0.0000)  0.00
Ge (0.0000, 0.5000, 0.0000)  -0.16
Pb (0.0000, 0.0000, 0.0000)  0.03



3.
K2GeHPb | PBE | optimized geometry

Calculated values
The calculated volume is 130 Å³ per cell. The value obtained for the relative energy among the computed polymorphs is 0.0 meV per atom. The space-group type is P4/mmm (123). The mass density comes out at 4.57 g/cm3.

Lattice parameters (Å, degrees): 4.9286 5.3676 4.9286 90.00 90.00 90.00
Site moments in Bohr magnetons follow the coordinates.
Element x y z (fractional)
K (0.0000, 0.0000, 0.5000)  0.01
K (0.5000, 0.0000, 0.0000)  0.01
Pb (0.0000, 0.5000, 0.0000)  0.01
H (0.0000, 0.0000, 0.0000)  0.00
Ge (0.5000, 0.5000, 0.5000)  0.09